# 1
A plane-wave DFT calculation with PBE-GGA was carried out for a geometry-optimized KSnB2Cl8 structure.

a = 6.2441 Å, b = 6.2441 Å, c = 30.0680 Å
α = 90.00°, β = 90.00°, γ = 120.00°
Space group R-3 (No. 148, hexagonal axes)
Asymmetric unit:
K1 0.0000 0.0000 0.0000
Sn1 0.0000 0.0000 0.5000
B1 0.0000 0.0000 0.2593
Cl1 0.0000 0.0000 0.3210
Cl2 0.0341 0.6300 0.4279

Summary:
- Raw formation energy: -0.9442 eV per atom
- Magnetic moment: 0.0833 μB per atom

# 2
A plane-wave DFT calculation with PBE-GGA was carried out for a geometry-optimized Rb2LiPmCl6 structure.

a = 7.461 Å, b = 7.520 Å, c = 12.925 Å
α = 90.00°, β = 125.11°, γ = 90.00°
Space group P2_1/c (No. 14)
Asymmetric unit:
Rb1 0.242 0.033 0.249
Li1 0.000 0.000 0.500
Pm1 0.500 0.000 0.000
Cl1 0.187 0.221 0.973
Cl2 0.253 0.714 0.974
Cl3 0.297 0.008 0.745

Summary:
- Raw formation energy: -2.0850 eV per atom
- Magnetic moment: 0.0000 μB per atom

# 3
A plane-wave DFT calculation with PBE-GGA was carried out for a geometry-optimized Ba2MgMn structure.

a = 4.113 Å, b = 5.980 Å, c = 12.073 Å
α = 90.00°, β = 90.00°, γ = 90.00°
Space group Imm2 (No. 44)
Asymmetric unit:
Ba1 0.000 0.000 0.000
Ba2 0.000 0.500 0.198
Mg1 0.000 0.500 0.783
Mn1 0.000 0.000 0.449

Summary:
- Magnetic moment: 0.9129 μB per atom
- Energy relative to the elements: 1.30 eV per formula unit

# 4
A plane-wave DFT calculation with PBE-GGA was carried out for a geometry-optimized Sn2IrW structure.

a = 7.645 Å, b = 7.645 Å, c = 5.622 Å
α = 90.00°, β = 90.00°, γ = 90.00°
Space group I-42d (No. 122)
Asymmetric unit:
Sn1 0.227 0.250 0.125
Ir1 0.000 0.000 0.000
W1 0.000 0.000 0.500

Summary:
- Magnetic moment: 0.3723 μB per atom
- Energy relative to the elements: 3.35 eV per formula unit

- The highest magnetic moment belongs to which entry?
  Ba2MgMn